Here is a relaxed BaTiWF2 crystal from Alexandria. Energies are from GGA+U.

Properties
**E_tot**: -22.015 eV per formula unit
**Fermi-level density of states**: 3.27 states/eV/cell
**Spin magnetization**: 0.3 μB/f.u.
**Mass density**: 4.8 g/cm3

a b c (Å): 4.3660 4.3660 7.4224
angles (deg): 90.00 90.00 90.00
Last column: nearest neighbours and their distance in Å.
Atoms (fractional coordinates):
Ba 0.0000 0.0000 0.0000  4 Ti 3.09
Ti 0.5000 0.5000 0.0000  4 Ba 3.09
W 0.0000 0.0000 0.5000  4 F 2.18
F 0.0000 0.5000 0.5000  2 W 2.18
F 0.5000 0.0000 0.5000  2 W 2.18